1.
Crystalline AlTeIO2 at its relaxed geometry. Source: Alexandria, functional PBE.

- Magnetic moment: 0.00 Bohr magnetons per cell
- E above lowest polymorph: 0.2553 eV per atom
- Raw total energy: -3.84 eV/atom
- Density: 4.476 Mg/m³

a = 4.198 Å, b = 4.198 Å, c = 6.598 Å
α = 90.00°, β = 90.00°, γ = 90.00°
Fractional positions:
Al 0.000 0.000 0.000
Te 0.500 0.500 0.500
I 0.500 0.500 0.000
O 0.000 0.500 0.500
O 0.500 0.000 0.500

2.
Crystalline Ta2AgPt at its relaxed geometry. Source: Alexandria, functional PBE.

- Magnetic moment: 0.00 Bohr magnetons per cell
- Raw total energy: -8.15 eV/atom
- Density: 15.958 Mg/m³

a = 5.096 Å, b = 5.096 Å, c = 5.025 Å
α = 99.85°, β = 99.85°, γ = 32.59°
Fractional positions:
Ta 0.244 0.244 0.241
Ta 0.756 0.756 0.759
Ag 0.000 0.000 0.500
Pt 0.500 0.500 0.000

3.
Crystalline Nb2AlH at its relaxed geometry. Source: Alexandria, functional PBE.

- Magnetic moment: 0.00 Bohr magnetons per cell
- Raw total energy: -6.96 eV/atom
- Density: 6.433 Mg/m³

a = 3.015 Å, b = 3.015 Å, c = 7.462 Å
α = 100.26°, β = 100.26°, γ = 56.19°
Fractional positions:
Nb 0.227 0.227 0.182
Nb 0.773 0.773 0.818
Al 0.000 0.000 0.500
H 0.500 0.500 0.000

4.
Crystalline LaHgTe2 at its relaxed geometry. Source: Alexandria, functional PBE.

- Magnetic moment: 0.00 Bohr magnetons per cell
- Raw total energy: -3.62 eV/atom
- Density: 6.703 Mg/m³

a = 8.168 Å, b = 8.168 Å, c = 8.168 Å
α = 33.43°, β = 33.43°, γ = 33.43°
Fractional positions:
La 0.000 0.000 0.000
Hg 0.254 0.254 0.254
Te 0.541 0.541 0.541
Te 0.736 0.736 0.736

> Look up the density of the first one.

4.476 Mg/m³